No. 1
An optimized crystal structure of LaNbPbS, computed with GGA-PBE.

Cell and atoms, written as CIF:
```
data_LaNbPbS
_chemical_formula_sum 'La2 Nb2 Pb2 S2'
_cell_length_a 6.7300
_cell_length_b 3.8801
_cell_length_c 7.7464
_cell_angle_alpha 90.00
_cell_angle_beta 106.74
_cell_angle_gamma 90.00
_space_group_name_H-M_alt 'C 1 m 1'
_space_group_IT_number 8
loop_
_space_group_symop_operation_xyz
'x,y,z'
'x,-y,z'
'x+1/2,y+1/2,z'
'x+1/2,-y+1/2,z'
loop_
_atom_site_label
_atom_site_type_symbol
_atom_site_fract_x
_atom_site_fract_y
_atom_site_fract_z
La1 La 0.0000 0.0000 0.0000
Nb1 Nb 0.4581 0.0000 0.3759
Pb1 Pb 0.2172 0.0000 0.6531
S1 S 0.2441 0.5000 0.2329
```

Results
As for the raw total energy: -25.7 eV per formula unit.

No. 2
An optimized crystal structure of LaNbPbS, computed with GGA-PBE.

Cell and atoms, written as CIF:
```
data_LaNbPbS
_chemical_formula_sum 'La2 Nb2 Pb2 S2'
_cell_length_a 3.4382
_cell_length_b 3.8871
_cell_length_c 14.2570
_cell_angle_alpha 90.00
_cell_angle_beta 90.00
_cell_angle_gamma 90.00
_space_group_name_H-M_alt 'A m m 2'
_space_group_IT_number 38
loop_
_space_group_symop_operation_xyz
'x,y,z'
'-x,-y,z'
'-x,y,z'
'x,-y,z'
'x,y+1/2,z+1/2'
'-x,-y+1/2,z+1/2'
'-x,y+1/2,z+1/2'
'x,-y+1/2,z+1/2'
loop_
_atom_site_label
_atom_site_type_symbol
_atom_site_fract_x
_atom_site_fract_y
_atom_site_fract_z
La1 La 0.0000 0.0000 0.0000
Nb1 Nb 0.0000 0.0000 0.7217
Pb1 Pb 0.5000 0.0000 0.3292
S1 S 0.5000 0.0000 0.5968
```

Results
As for the raw total energy: -25.5 eV per formula unit.

Here are the calculated magnetic moment numbers, same order: 0.0 0.0 (μB per formula unit).
Here are the calculated energy above the most stable polymorph in this dataset numbers, same order: 0.00 0.21 (eV per formula unit).
Here are the calculated density of states at the Fermi level numbers, same order: 0.76 2.88 (states/eV/f.u.).